# Ac3Sn2SbPd9 (GGA-PBE, relaxed)
# SG ... P-3m1 (164)
# Formation energy (no corrections) ... -557 meV per atom
data_Ac3Sn2SbPd9
_cell_length_a 6.9300
_cell_length_b 6.9300
_cell_length_c 9.2596
_cell_angle_alpha 90.00
_cell_angle_beta 90.00
_cell_angle_gamma 120.00
_space_group_name_H-M_alt 'P 1'
_space_group_IT_number 1
loop_
_space_group_symop_operation_xyz
'x,y,z'
loop_
_atom_site_label
_atom_site_type_symbol
_atom_site_fract_x
_atom_site_fract_y
_atom_site_fract_z
Ac1 Ac 0.0000 0.0000 0.0000
Ac2 Ac 0.3333 0.6667 0.7274
Ac3 Ac 0.6667 0.3333 0.2726
Sn1 Sn 0.3333 0.6667 0.1893
Sn2 Sn 0.6667 0.3333 0.8107
Sb1 Sb 0.0000 0.0000 0.5000
Pd1 Pd 0.0000 0.5000 0.0000
Pd2 Pd 0.1347 0.2693 0.2795
Pd3 Pd 0.1347 0.8653 0.2795
Pd4 Pd 0.2693 0.1347 0.7205
Pd5 Pd 0.5000 0.0000 0.0000
Pd6 Pd 0.5000 0.5000 0.0000
Pd7 Pd 0.7307 0.8653 0.2795
Pd8 Pd 0.8653 0.1347 0.7205
Pd9 Pd 0.8653 0.7307 0.7205

=====

# AcSnSbPd (GGA-PBE, relaxed)
# SG ... F-43m (216)
# Formation energy (no corrections) ... -387 meV per atom
data_AcSnSbPd
_cell_length_a 5.3487
_cell_length_b 5.3487
_cell_length_c 5.3487
_cell_angle_alpha 60.00
_cell_angle_beta 60.00
_cell_angle_gamma 60.00
_space_group_name_H-M_alt 'P 1'
_space_group_IT_number 1
loop_
_space_group_symop_operation_xyz
'x,y,z'
loop_
_atom_site_label
_atom_site_type_symbol
_atom_site_fract_x
_atom_site_fract_y
_atom_site_fract_z
Ac1 Ac 0.0000 0.0000 0.0000
Sn1 Sn 0.7500 0.7500 0.7500
Sb1 Sb 0.5000 0.5000 0.5000
Pd1 Pd 0.2500 0.2500 0.2500

=====

# SrAcSb2Pd2 (GGA-PBE, relaxed)
# SG ... P-3m1 (164)
# Formation energy (no corrections) ... -1026 meV per atom
data_SrAcSb2Pd2
_cell_length_a 4.6304
_cell_length_b 4.6304
_cell_length_c 8.9700
_cell_angle_alpha 90.00
_cell_angle_beta 90.00
_cell_angle_gamma 120.00
_space_group_name_H-M_alt 'P 1'
_space_group_IT_number 1
loop_
_space_group_symop_operation_xyz
'x,y,z'
loop_
_atom_site_label
_atom_site_type_symbol
_atom_site_fract_x
_atom_site_fract_y
_atom_site_fract_z
Sr1 Sr 0.0000 0.0000 0.0000
Ac1 Ac 0.0000 0.0000 0.5000
Sb1 Sb 0.3333 0.6667 0.7501
Sb2 Sb 0.6667 0.3333 0.2499
Pd1 Pd 0.3333 0.6667 0.2561
Pd2 Pd 0.6667 0.3333 0.7439

=====

Copy entry 1 word for word.
# Ac3Sn2SbPd9 (GGA-PBE, relaxed)
# SG ... P-3m1 (164)
# Formation energy (no corrections) ... -557 meV per atom
data_Ac3Sn2SbPd9
_cell_length_a 6.9300
_cell_length_b 6.9300
_cell_length_c 9.2596
_cell_angle_alpha 90.00
_cell_angle_beta 90.00
_cell_angle_gamma 120.00
_space_group_name_H-M_alt 'P 1'
_space_group_IT_number 1
loop_
_space_group_symop_operation_xyz
'x,y,z'
loop_
_atom_site_label
_atom_site_type_symbol
_atom_site_fract_x
_atom_site_fract_y
_atom_site_fract_z
Ac1 Ac 0.0000 0.0000 0.0000
Ac2 Ac 0.3333 0.6667 0.7274
Ac3 Ac 0.6667 0.3333 0.2726
Sn1 Sn 0.3333 0.6667 0.1893
Sn2 Sn 0.6667 0.3333 0.8107
Sb1 Sb 0.0000 0.0000 0.5000
Pd1 Pd 0.0000 0.5000 0.0000
Pd2 Pd 0.1347 0.2693 0.2795
Pd3 Pd 0.1347 0.8653 0.2795
Pd4 Pd 0.2693 0.1347 0.7205
Pd5 Pd 0.5000 0.0000 0.0000
Pd6 Pd 0.5000 0.5000 0.0000
Pd7 Pd 0.7307 0.8653 0.2795
Pd8 Pd 0.8653 0.1347 0.7205
Pd9 Pd 0.8653 0.7307 0.7205

=====

Which value of formation energy (no corrections) does entry 1 give? -557 meV per atom